Here is Ba7Sb2H2 after structural relaxation from Alexandria. Energies are from GGA-PBE.

Unit cell a=8.508 b=8.508 c=8.397 alpha=92.61 beta=92.61 gamma=116.06
Atoms (fractional coordinates):
Ba 0.000 0.000 0.000
Ba 0.032 0.403 0.744
Ba 0.403 0.032 0.744
Ba 0.410 0.410 0.223
Ba 0.590 0.590 0.777
Ba 0.597 0.968 0.256
Ba 0.968 0.597 0.256
Sb 0.331 0.669 0.500
Sb 0.669 0.331 0.500
H 0.288 0.288 0.887
H 0.712 0.712 0.113

Output
The total energy comes out at -3.0071 eV per atom. The symmetry is C2/m.